1.
A plane-wave DFT calculation with PBE-GGA was carried out for a relaxed structure of BaFeBr.

Results
DFT total energy ... -3.906 eV per atom
Uncorrected formation energy ... 0.113 eV per atom
ΔE to the lowest computed polymorph ... 0.340 eV/f.u.

```
BaFeBr
1.0
-4.6930 -2.5844 0.3253
-0.6958 -4.6385 -2.6094
-0.3466 -4.5985 2.7465
Fe Br Ba
1 1 1
Cartesian
0.0000 0.0000 0.0000
-4.3016 -8.8661 0.3468
-2.8677 -5.9107 0.2312
```



2.
A plane-wave DFT calculation with PBE-GGA was carried out for a relaxed structure of Mg2Cu2Se3.

Results
DFT total energy ... -2.970 eV per atom
Uncorrected formation energy ... 0.149 eV per atom
ΔE to the lowest computed polymorph ... 5.658 eV/f.u.

```
Mg2Cu2Se3
1.0
2.2261 -12.7025 0.0000
2.2261 12.7025 0.0000
0.0000 0.0000 2.6877
Cu Mg Se
2 2 3
Cartesian
2.2261 -8.0864 0.0000
2.2261 8.0864 0.0000
2.2261 -5.5738 1.3439
2.2261 5.5738 1.3439
0.0000 0.0000 0.0000
2.2261 3.0312 1.3439
2.2261 -3.0312 1.3439
```



3.
A plane-wave DFT calculation with PBE-GGA was carried out for a relaxed structure of Mn2CoIr.

Results
DFT total energy ... -8.095 eV per atom

```
Mn2CoIr
1.0
3.5250 0.0000 0.0000
0.0000 3.5250 0.0000
1.7625 1.7625 8.2324
Mn Co Ir
4 2 2
Cartesian
2.4467 0.8812 2.0581
2.6437 2.8408 6.1743
1.0783 2.6437 2.0581
4.4062 4.2092 6.1743
1.7625 1.7625 0.0000
1.7625 3.5250 4.1162
0.0000 0.0000 0.0000
3.5250 1.7625 4.1162
```



4.
A plane-wave DFT calculation with PBE-GGA was carried out for a relaxed structure of Al2CuPd2.

Results
DFT total energy ... -4.975 eV per atom
ΔE to the lowest computed polymorph ... 0.140 eV/f.u.

```
Al2CuPd2
1.0
7.1689 0.0000 0.0000
0.0000 7.1689 0.0000
0.0000 0.0000 2.9202
Al Cu Pd
4 2 4
Cartesian
4.6956 6.0577 1.4601
1.1112 4.6956 1.4601
2.4732 1.1112 1.4601
6.0577 2.4732 1.4601
3.5844 3.5844 0.0000
0.0000 0.0000 0.0000
2.5514 6.1359 0.0000
4.6174 1.0330 0.0000
6.1359 4.6174 0.0000
1.0330 2.5514 0.0000
```



5.
A plane-wave DFT calculation with PBE-GGA was carried out for a relaxed structure of Sb2OsW.

Results
DFT total energy ... -7.258 eV per atom
Uncorrected formation energy ... 0.849 eV per atom
ΔE to the lowest computed polymorph ... 2.440 eV/f.u.

```
Sb2OsW
1.0
5.0946 0.0062 0.0000
1.5128 4.8648 0.0000
-3.3037 -2.4355 3.0181
Os Sb W
1 2 1
Cartesian
2.5473 0.0031 1.5090
0.0000 0.0000 0.0000
0.7564 2.4324 1.5090
3.3037 2.4355 0.0000
```



6.
A plane-wave DFT calculation with PBE-GGA was carried out for a relaxed structure of TmGa3Ni3.

Results
DFT total energy ... -4.404 eV per atom
ΔE to the lowest computed polymorph ... 2.621 eV/f.u.

```
TmGa3Ni3
1.0
6.4063 0.0000 0.0000
0.0000 6.4063 0.0000
0.0000 0.0000 6.4063
Ni Tm Ga
6 2 6
Cartesian
3.2031 1.6016 0.0000
4.8047 0.0000 3.2031
0.0000 3.2031 1.6016
1.6016 0.0000 3.2031
3.2031 4.8047 0.0000
0.0000 3.2031 4.8047
0.0000 0.0000 0.0000
3.2031 3.2031 3.2031
4.8047 3.2031 0.0000
0.0000 4.8047 3.2031
3.2031 0.0000 1.6016
1.6016 3.2031 0.0000
3.2031 0.0000 4.8047
0.0000 1.6016 3.2031
```



7.
A plane-wave DFT calculation with PBE-GGA was carried out for a relaxed structure of MgAg2Ge.

Results
DFT total energy ... -3.051 eV per atom

```
MgAg2Ge
1.0
4.1607 0.0000 0.0000
0.0000 4.1687 0.0000
0.0000 0.0000 4.1687
Ag Mg Ge
2 1 1
Cartesian
0.0000 0.0000 2.0843
0.0000 2.0843 0.0000
2.0803 2.0843 2.0843
2.0803 0.0000 0.0000
```



8.
A plane-wave DFT calculation with PBE-GGA was carried out for a relaxed structure of Ac2Pr4Y3.

Results
DFT total energy ... -5.122 eV per atom
ΔE to the lowest computed polymorph ... 0.301 eV/f.u.

```
Ac2Pr4Y3
1.0
-2.6824 0.8660 -2.4747
0.0278 -3.3779 1.6306
-15.7869 9.7827 20.5348
Pr Y Ac
4 3 2
Cartesian
-11.8959 7.3716 15.4737
-8.6260 3.6943 7.8000
-8.5890 5.3224 11.1722
-5.3421 1.6593 3.5284
-12.0308 5.8041 12.2287
-5.1799 3.2099 6.7378
-15.4980 9.6037 20.1591
-3.1995 0.3316 0.7414
-15.5289 7.9718 16.7788
```